[1]
KCoSbI2 PBEsol relaxed; E = -18.1 eV for the cell shown; size of the total moment = 0.00 μB per formula unit; uncorrected formation energy = -22.8 kJ per mole of atoms
1.0
-4.4362 -0.6158 1.3783
0.0513 -5.1974 -2.1569
1.8122 -2.0268 4.9271
I Sb Co K
2 1 1 1
Cartesian
0.0256 -2.5987 -1.0785 I
0.9061 -1.0134 2.4635 I
-2.2181 -0.3079 0.6892 Sb
0.0000 0.0000 0.0000 Co
-1.2863 -3.9200 2.0743 K

=====

[2]
Tl2RuCl PBEsol relaxed; E = -16.6 eV for the cell shown; size of the total moment = 0.00 μB per formula unit; uncorrected formation energy = 20.9 kJ per mole of atoms; energy relative to the lowest polymorph listed for this composition = 0.25 eV/f.u.
1.0
-0.1507 -2.9845 -0.3049
0.7655 0.4741 -5.0185
5.2024 0.8945 3.4681
Ru Cl Tl
1 1 2
Cartesian
2.9351 0.0700 -2.1357 Ru
1.0530 -1.3040 -2.5526 Cl
5.3106 -1.5827 -1.9295 Tl
2.6429 -1.6702 0.2454 Tl

=====

[3]
ScAu PBEsol relaxed; E = -23.8 eV for the cell shown; size of the total moment = 0.00 μB per formula unit; E_form = -681 meV/atom
1.0
-2.5924 1.1596 -2.9564
1.7494 -2.6630 -2.5785
-2.3776 -2.3034 4.0236
Sc Au
2 2
Cartesian
-0.6842 -2.1815 -3.0979 Sc
-2.5364 -1.6253 1.5866 Sc
-0.2624 -1.4295 -0.3306 Au
-2.9582 -2.3773 -1.1807 Au

=====

[4]
RuRh2I PBEsol relaxed; E = -25.0 eV for the cell shown; size of the total moment = 0.03 μB per formula unit; uncorrected formation energy = 77.5 kJ per mole of atoms
1.0
4.4620 0.0000 0.0000
2.2310 3.8642 0.0000
2.2310 1.2881 3.6432
Ru Rh I
1 2 1
Cartesian
0.0000 0.0000 0.0000 Ru
2.2310 1.2881 0.9108 Rh
6.6930 3.8642 2.7324 Rh
4.4620 2.5761 1.8216 I

=====

[5]
K2InP PBEsol relaxed; E = -12.0 eV for the cell shown; size of the total moment = 0.00 μB per formula unit; E_form = -241 meV/atom; energy relative to the lowest polymorph listed for this composition = 0.03 eV/f.u.
1.0
-0.0999 -1.8635 -3.4993
-4.4253 -2.8547 1.6466
-1.1586 6.4594 -1.1595
K In P
2 1 1
Cartesian
-5.5344 1.5621 -2.9211 K
-2.1260 1.5563 -3.0154 K
-3.4533 0.0596 0.0669 In
-2.5165 -2.0548 -1.0812 P

=====

[6]
TiP2OsBr PBEsol relaxed; E = -30.6 eV for the cell shown; size of the total moment = 2.44 μB per formula unit; uncorrected formation energy = 66.1 kJ per mole of atoms
1.0
4.4637 0.0000 0.0000
0.0000 4.4637 0.0000
0.0000 0.0000 5.3089
P Br Os Ti
2 1 1 1
Cartesian
0.0000 2.2318 0.0000 P
2.2318 0.0000 0.0000 P
0.0000 0.0000 2.6545 Br
0.0000 0.0000 0.0000 Os
2.2318 2.2318 2.6545 Ti

=====

[7]
CrOs3 PBEsol relaxed; E = -46.7 eV for the cell shown; size of the total moment = 0.00 μB per formula unit; E_form = 59 meV/atom
1.0
-0.5617 -0.2839 -2.6272
-1.8030 -0.7720 1.8579
-3.4284 7.7543 -0.1050
Os Cr
3 1
Cartesian
-1.7142 3.8772 -0.0525 Os
-1.8086 1.4378 -1.1577 Os
-3.5707 5.4233 -1.2117 Os
0.0000 0.0000 0.0000 Cr

=====

[8]
Na2CaHg2 PBEsol relaxed; E = -14.6 eV for the cell shown; size of the total moment = 0.00 μB per formula unit; E_form = -251 meV/atom; energy relative to the lowest polymorph listed for this composition = 0.07 eV/f.u.
1.0
4.3262 0.0000 0.0000
0.0000 8.0212 0.0000
0.0000 0.0000 8.0212
Na Hg Ca
4 4 2
Cartesian
2.1631 6.7125 2.7019 Na
2.1631 5.3192 6.7125 Na
2.1631 1.3087 5.3192 Na
2.1631 2.7019 1.3087 Na
0.0000 6.9715 5.0603 Hg
0.0000 1.0497 2.9609 Hg
0.0000 2.9609 6.9715 Hg
0.0000 5.0603 1.0497 Hg
0.0000 0.0000 0.0000 Ca
0.0000 4.0106 4.0106 Ca